Record 1
A geometry-optimized BaU4O10 structure, computed with GGA-PBE.

Values from the calculation:
**Fermi-level density of states**: 18.467 states/eV/cell
**ΔE_f (raw)**: -3201 meV per atom

a = 14.575 Å, b = 14.575 Å, c = 14.575 Å
α = 164.91°, β = 164.91°, γ = 21.40°
Element x y z (fractional)
Ba (0.000, 0.000, 0.000)
U (0.202, 0.202, 0.000)
U (0.396, 0.396, 0.000)
U (0.604, 0.604, 0.000)
U (0.798, 0.798, 0.000)
O (0.066, 0.566, 0.500)
O (0.157, 0.657, 0.500)
O (0.250, 0.750, 0.500)
O (0.343, 0.843, 0.500)
O (0.434, 0.934, 0.500)
O (0.566, 0.066, 0.500)
O (0.657, 0.157, 0.500)
O (0.750, 0.250, 0.500)
O (0.843, 0.343, 0.500)
O (0.934, 0.434, 0.500)

Record 2
A geometry-optimized CaTiCd2 structure, computed with GGA-PBE.

Values from the calculation:
**Fermi-level density of states**: 4.783 states/eV/cell
**Total DFT energy (no corrections)**: -21.1 eV per cell

a = 6.562 Å, b = 6.562 Å, c = 6.562 Å
α = 103.38°, β = 103.38°, γ = 122.50°
Element x y z (fractional)
Ca (0.000, 0.000, 0.000)
Ca (0.750, 0.250, 0.500)
Ti (0.250, 0.750, 0.500)
Ti (0.500, 0.500, 0.000)
Cd (0.157, 0.625, 0.032)
Cd (0.375, 0.407, 0.532)
Cd (0.593, 0.125, 0.968)
Cd (0.875, 0.843, 0.468)